(1)
Crystalline LiSn2SbAu at its relaxed geometry. Source: Alexandria, functional PBE.

Properties
total energy = -3.1734 eV per atom
energy relative to the elements, uncorrected = 0.29 eV per atom

Cell lengths 4.9759, 4.9759, 4.9579 Å; angles 90.00, 90.00, 90.00 degrees
Closest atoms and distances in Å follow each position.
Sites, in units of the cell vectors:
Li (0.0000, 0.0000, 0.0000)  2 Sb 2.48, 4 Sn 2.49
Sn (0.0000, 0.5000, 0.0000)  2 Li 2.49
Sn (0.5000, 0.0000, 0.0000)  2 Li 2.49
Sb (0.0000, 0.0000, 0.5000)  2 Li 2.48
Au (0.5000, 0.5000, 0.5000)  8 Sn 3.51, 4 Sb 3.52

=====

(2)
Crystalline Ba3UMnS6 at its relaxed geometry. Source: Alexandria, functional PBE.

Properties
total energy = -6.2975 eV per atom
energy relative to the elements, uncorrected = -1.66 eV per atom

Cell lengths 8.3747, 8.3747, 8.3747 Å; angles 93.14, 93.14, 93.14 degrees
Closest atoms and distances in Å follow each position.
Sites, in units of the cell vectors:
Ba (0.1286, 0.7500, 0.3714)  8 S 3.18-3.34
Ba (0.2500, 0.6286, 0.8714)  8 S 3.18-3.34
Ba (0.3714, 0.1286, 0.7500)  8 S 3.18-3.34
Ba (0.6286, 0.8714, 0.2500)  8 S 3.18-3.34
Ba (0.7500, 0.3714, 0.1286)  8 S 3.18-3.34
Ba (0.8714, 0.2500, 0.6286)  8 S 3.18-3.34
U (0.2500, 0.2500, 0.2500)  6 S 2.73
U (0.7500, 0.7500, 0.7500)  6 S 2.73
Mn (0.0000, 0.0000, 0.0000)  6 S 2.59
Mn (0.5000, 0.5000, 0.5000)  6 S 2.59
S (0.0367, 0.9079, 0.7050)  1 Mn 2.59, 1 U 2.73
S (0.0921, 0.2950, 0.9633)  1 Mn 2.59, 1 U 2.73
S (0.2050, 0.4079, 0.5367)  1 Mn 2.59, 1 U 2.73
S (0.2950, 0.9633, 0.0921)  1 Mn 2.59, 1 U 2.73
S (0.4079, 0.5367, 0.2050)  1 Mn 2.59, 1 U 2.73
S (0.4633, 0.7950, 0.5921)  1 Mn 2.59, 1 U 2.73
S (0.5367, 0.2050, 0.4079)  1 Mn 2.59, 1 U 2.73
S (0.5921, 0.4633, 0.7950)  1 Mn 2.59, 1 U 2.73
S (0.7050, 0.0367, 0.9079)  1 Mn 2.59, 1 U 2.73
S (0.7950, 0.5921, 0.4633)  1 Mn 2.59, 1 U 2.73
S (0.9079, 0.7050, 0.0367)  1 Mn 2.59, 1 U 2.73
S (0.9633, 0.0921, 0.2950)  1 Mn 2.59, 1 U 2.73

=====

(3)
Crystalline TcHgN2 at its relaxed geometry. Source: Alexandria, functional PBE.

Properties
total energy = -6.3605 eV per atom
energy relative to the elements, uncorrected = 0.47 eV per atom

Cell lengths 2.9749, 2.9749, 20.5012 Å; angles 90.00, 90.00, 120.00 degrees
Closest atoms and distances in Å follow each position.
Sites, in units of the cell vectors:
Tc (0.0000, 0.0000, 0.0000)  6 N 2.08
Tc (0.3333, 0.6667, 0.6667)  6 N 2.08
Tc (0.6667, 0.3333, 0.3333)  6 N 2.08
Hg (0.0000, 0.0000, 0.5000)  2 N 2.25
Hg (0.3333, 0.6667, 0.1667)  2 N 2.25
Hg (0.6667, 0.3333, 0.8333)  2 N 2.25
N (0.0000, 0.0000, 0.3902)  3 Tc 2.08, 1 Hg 2.25
N (0.0000, 0.0000, 0.6098)  3 Tc 2.08, 1 Hg 2.25
N (0.3333, 0.6667, 0.0569)  3 Tc 2.08, 1 Hg 2.25
N (0.3333, 0.6667, 0.2765)  3 Tc 2.08, 1 Hg 2.25
N (0.6667, 0.3333, 0.7235)  3 Tc 2.08, 1 Hg 2.25
N (0.6667, 0.3333, 0.9431)  3 Tc 2.08, 1 Hg 2.25

=====

(4)
Crystalline B3Rh4 at its relaxed geometry. Source: Alexandria, functional PBE.

Properties
energy above the lowest structure with this stoichiometry = 0 meV/atom
total energy = -7.4166 eV per atom
energy relative to the elements = -354.0 meV/atom

Cell lengths 8.3946, 8.3946, 8.3946 Å; angles 22.86, 22.86, 22.86 degrees
Closest atoms and distances in Å follow each position.
Sites, in units of the cell vectors:
B (0.0000, 0.0000, 0.0000)  6 Rh 2.19, 2 B 2.30
B (0.0936, 0.0936, 0.0936)  6 Rh 2.09-2.29, 1 B 2.30
B (0.9064, 0.9064, 0.9064)  6 Rh 2.09-2.29, 1 B 2.30
Rh (0.2066, 0.2066, 0.2066)  3 B 2.09
Rh (0.3761, 0.3761, 0.3761)  6 B 2.19-2.29
Rh (0.6239, 0.6239, 0.6239)  6 B 2.19-2.29
Rh (0.7934, 0.7934, 0.7934)  3 B 2.09

=====

(5)
Crystalline Tm2Sc3Cu2 at its relaxed geometry. Source: Alexandria, functional PBE.

Properties
energy above the lowest structure with this stoichiometry = 24 meV/atom
total energy = -5.2625 eV per atom
energy relative to the elements = -101.1 meV/atom

Cell lengths 10.2771, 4.6127, 7.3519 Å; angles 90.00, 115.55, 90.00 degrees
Closest atoms and distances in Å follow each position.
Sites, in units of the cell vectors:
Tm (0.1339, 0.0000, 0.2859)  4 Cu 2.90-3.21
Tm (0.3661, 0.5000, 0.7141)  4 Cu 2.90-3.21
Tm (0.6339, 0.5000, 0.2859)  4 Cu 2.90-3.21
Tm (0.8661, 0.0000, 0.7141)  4 Cu 2.90-3.21
Sc (0.0000, 0.5000, 0.5000)  4 Cu 2.75, 2 Sc 3.07
Sc (0.1404, 0.5000, 0.9626)  1 Cu 2.60
Sc (0.3596, 0.0000, 0.0374)  1 Cu 2.60
Sc (0.5000, 0.0000, 0.5000)  4 Cu 2.75, 2 Sc 3.07
Sc (0.6404, 0.0000, 0.9626)  1 Cu 2.60
Sc (0.8596, 0.5000, 0.0374)  1 Cu 2.60
Cu (0.1405, 0.0000, 0.6838)  3 Sc 2.60-2.75, 1 Tm 2.90
Cu (0.3595, 0.5000, 0.3162)  3 Sc 2.60-2.75, 1 Tm 2.90
Cu (0.6405, 0.5000, 0.6838)  3 Sc 2.60-2.75, 1 Tm 2.90
Cu (0.8595, 0.0000, 0.3162)  3 Sc 2.60-2.75, 1 Tm 2.90

=====

(6)
Crystalline Ti8Ni2Ge at its relaxed geometry. Source: Alexandria, functional PBE.

Properties
total energy = -7.3807 eV per atom
energy relative to the elements = -168.0 meV/atom

Cell lengths 6.9628, 6.9628, 4.3309 Å; angles 99.23, 99.23, 117.18 degrees
Closest atoms and distances in Å follow each position.
Sites, in units of the cell vectors:
Ti (0.0853, 0.3116, 0.5899)  2 Ni 2.50-2.73, 2 Ti 2.69-2.74
Ti (0.2311, 0.7689, 0.0000)  2 Ni 2.37
Ti (0.3116, 0.0853, 0.5899)  2 Ni 2.50-2.73, 2 Ti 2.69-2.74
Ti (0.3918, 0.3918, 0.1893)  6 Ti 2.60-2.88, 2 Ni 2.61, 1 Ge 2.71
Ti (0.6082, 0.6082, 0.8107)  6 Ti 2.60-2.88, 2 Ni 2.61, 1 Ge 2.71
Ti (0.6884, 0.9147, 0.4101)  2 Ni 2.50-2.73, 2 Ti 2.69-2.74
Ti (0.7689, 0.2311, 0.0000)  2 Ni 2.37
Ti (0.9147, 0.6884, 0.4101)  2 Ni 2.50-2.73, 2 Ti 2.69-2.74
Ni (0.3114, 0.6886, 0.5000)  6 Ti 2.37-2.61
Ni (0.6886, 0.3114, 0.5000)  6 Ti 2.37-2.61
Ge (0.0000, 0.0000, 0.0000)  12 Ti 2.71-2.93

=====

(7)
Crystalline MnZnW2 at its relaxed geometry. Source: Alexandria, functional PBE.

Properties
total energy = -8.8433 eV per atom
energy relative to the elements = 244.1 meV/atom

Cell lengths 3.2814, 4.2269, 4.2644 Å; angles 90.00, 90.00, 90.00 degrees
Closest atoms and distances in Å follow each position.
Sites, in units of the cell vectors:
Mn (0.0000, 0.0000, 0.0000)  4 Zn 2.68, 4 W 2.69
Zn (0.5000, 0.5000, 0.0000)  4 Mn 2.68, 4 W 2.69
W (0.0000, 0.5000, 0.5000)  4 W 2.68, 4 Zn 2.69
W (0.5000, 0.0000, 0.5000)  4 W 2.68, 4 Mn 2.69

=====

(8)
Crystalline YZr2Co at its relaxed geometry. Source: Alexandria, functional PBE.

Properties
energy above the lowest structure with this stoichiometry = 408 meV/atom
total energy = -7.4078 eV per atom
energy relative to the elements = 258.8 meV/atom

Cell lengths 6.9565, 6.9565, 6.9565 Å; angles 90.00, 90.00, 90.00 degrees
Closest atoms and distances in Å follow each position.
Sites, in units of the cell vectors:
Y (0.0000, 0.0000, 0.0000)  4 Zr 3.01, 4 Co 3.01
Y (0.0000, 0.5000, 0.5000)  4 Zr 3.01, 4 Co 3.01
Y (0.5000, 0.0000, 0.5000)  4 Zr 3.01, 4 Co 3.01
Y (0.5000, 0.5000, 0.0000)  4 Zr 3.01, 4 Co 3.01
Zr (0.0000, 0.0000, 0.5000)  4 Zr 3.01, 4 Co 3.01
Zr (0.0000, 0.5000, 0.0000)  4 Zr 3.01, 4 Co 3.01
Zr (0.2500, 0.2500, 0.2500)  4 Zr 3.01, 4 Y 3.01
Zr (0.2500, 0.7500, 0.7500)  4 Zr 3.01, 4 Y 3.01
Zr (0.5000, 0.0000, 0.0000)  4 Zr 3.01, 4 Co 3.01
Zr (0.5000, 0.5000, 0.5000)  4 Zr 3.01, 4 Co 3.01
Zr (0.7500, 0.2500, 0.7500)  4 Zr 3.01, 4 Y 3.01
Zr (0.7500, 0.7500, 0.2500)  4 Zr 3.01, 4 Y 3.01
Co (0.2500, 0.2500, 0.7500)  4 Zr 3.01, 4 Y 3.01
Co (0.2500, 0.7500, 0.2500)  4 Zr 3.01, 4 Y 3.01
Co (0.7500, 0.2500, 0.2500)  4 Zr 3.01, 4 Y 3.01
Co (0.7500, 0.7500, 0.7500)  4 Zr 3.01, 4 Y 3.01

=====

(9)
Crystalline PRu3 at its relaxed geometry. Source: Alexandria, functional PBE.

Properties
energy above the lowest structure with this stoichiometry = 409 meV/atom
total energy = -8.0709 eV per atom
energy relative to the elements = 238.5 meV/atom

Cell lengths 7.8580, 6.3391, 4.6289 Å; angles 90.00, 90.00, 90.00 degrees
Closest atoms and distances in Å follow each position.
Sites, in units of the cell vectors:
P (0.0000, 0.0469, 0.2500)  3 Ru 2.20-2.29, 2 P 2.39
P (0.0000, 0.9531, 0.7500)  3 Ru 2.20-2.29, 2 P 2.39
P (0.5000, 0.4531, 0.7500)  3 Ru 2.20-2.29, 2 P 2.39
P (0.5000, 0.5469, 0.2500)  3 Ru 2.20-2.29, 2 P 2.39
Ru (0.0000, 0.3941, 0.2500)  1 P 2.20
Ru (0.0000, 0.6059, 0.7500)  1 P 2.20
Ru (0.1733, 0.2429, 0.7500)  1 P 2.29
Ru (0.1733, 0.7571, 0.2500)  1 P 2.29
Ru (0.3267, 0.2571, 0.2500)  1 P 2.29
Ru (0.3267, 0.7429, 0.7500)  1 P 2.29
Ru (0.5000, 0.1059, 0.7500)  1 P 2.20
Ru (0.5000, 0.8941, 0.2500)  1 P 2.20
Ru (0.6733, 0.2571, 0.2500)  1 P 2.29
Ru (0.6733, 0.7429, 0.7500)  1 P 2.29
Ru (0.8267, 0.2429, 0.7500)  1 P 2.29
Ru (0.8267, 0.7571, 0.2500)  1 P 2.29

=====

(10)
Crystalline K2Ag2SnBr6 at its relaxed geometry. Source: Alexandria, functional PBE.

Properties
total energy = -2.9385 eV per atom
energy relative to the elements, uncorrected = -0.94 eV per atom

Cell lengths 8.1426, 8.1426, 7.8970 Å; angles 114.85, 114.85, 59.91 degrees
Closest atoms and distances in Å follow each position.
Sites, in units of the cell vectors:
K (0.2374, 0.2374, 0.1779)  5 Br 3.26-3.39
K (0.7626, 0.7626, 0.8221)  5 Br 3.26-3.39
Ag (0.4401, 0.4401, 0.7869)  3 Br 2.60-2.67
Ag (0.5599, 0.5599, 0.2131)  3 Br 2.60-2.67
Sn (0.0000, 0.0000, 0.5000)  6 Br 2.97-3.01
Br (0.1785, 0.6804, 0.1798)  1 Ag 2.67
Br (0.2295, 0.2295, 0.5840)  1 Ag 2.60
Br (0.3196, 0.8215, 0.8202)  1 Ag 2.67
Br (0.6804, 0.1785, 0.1798)  1 Ag 2.67
Br (0.7705, 0.7705, 0.4160)  1 Ag 2.60
Br (0.8215, 0.3196, 0.8202)  1 Ag 2.67

=====

(11)
Crystalline Dy2Ga4Ni3Ir at its relaxed geometry. Source: Alexandria, functional PBE.

Properties
total energy = -5.3722 eV per atom
energy relative to the elements = -620.5 meV/atom

Cell lengths 4.0584, 4.0584, 10.1709 Å; angles 90.00, 90.00, 90.00 degrees
Closest atoms and distances in Å follow each position.
Sites, in units of the cell vectors:
Dy (0.0000, 0.5000, 0.2480)  8 Ga 3.10-3.24, 6 Ni 3.11-3.27, 2 Ir 3.27
Dy (0.5000, 0.0000, 0.7520)  8 Ga 3.10-3.24, 6 Ni 3.11-3.27, 2 Ir 3.27
Ga (0.0000, 0.0000, 0.0000)  4 Ni 2.43
Ga (0.0000, 0.5000, 0.6376)  3 Ni 2.35-2.46, 2 Ir 2.46
Ga (0.5000, 0.0000, 0.3624)  3 Ni 2.35-2.46, 2 Ir 2.46
Ga (0.5000, 0.5000, 0.0000)  4 Ni 2.43
Ni (0.0000, 0.5000, 0.8689)  5 Ga 2.35-2.43
Ni (0.5000, 0.0000, 0.1311)  5 Ga 2.35-2.43
Ni (0.5000, 0.5000, 0.5000)  4 Ga 2.46
Ir (0.0000, 0.0000, 0.5000)  4 Ga 2.46

=====

(12)
Crystalline TaBeCr2 at its relaxed geometry. Source: Alexandria, functional PBE.

Properties
total energy = -8.4750 eV per atom
energy relative to the elements = 231.4 meV/atom

Cell lengths 5.0722, 8.4544, 2.5789 Å; angles 90.00, 111.60, 90.00 degrees
Closest atoms and distances in Å follow each position.
Sites, in units of the cell vectors:
Ta (0.0000, 0.0000, 0.0000)  2 Be 2.54, 4 Cr 2.56, 2 Ta 2.58
Ta (0.5000, 0.5000, 0.0000)  2 Be 2.54, 4 Cr 2.56, 2 Ta 2.58
Be (0.0000, 0.5000, 0.0000)  2 Ta 2.54, 4 Cr 2.56, 2 Be 2.58
Be (0.5000, 0.0000, 0.0000)  2 Ta 2.54, 4 Cr 2.56, 2 Be 2.58
Cr (0.2500, 0.2500, 0.5000)  4 Cr 2.54-2.58, 2 Ta 2.56, 2 Be 2.56
Cr (0.2500, 0.7500, 0.5000)  4 Cr 2.54-2.58, 2 Ta 2.56, 2 Be 2.56
Cr (0.7500, 0.2500, 0.5000)  4 Cr 2.54-2.58, 2 Ta 2.56, 2 Be 2.56
Cr (0.7500, 0.7500, 0.5000)  4 Cr 2.54-2.58, 2 Ta 2.56, 2 Be 2.56

=====

Which value of total energy does entry 12 give? -8.4750 eV per atom